First-principles (PBE) data for a relaxed structure of MgB2H6, as listed in Alexandria via LeMat-Bulk.

Output
Distance to the lowest polymorph of the same formula ... 0.000 eV per atom
Total energy ... -4.10 eV/atom

a b c (Å): 7.063 6.114 6.711
angles (deg): 90.00 107.37 90.00
Space group C2/c (No. 15)
Inequivalent atoms, fractional coordinates:
Mg  0.000  0.061  0.250 x4
B  0.220  0.168  0.595 x8
H  0.062  0.232  0.618 x8
H  0.160  0.339  0.231 x8
H  0.209  0.027  0.045 x8

---

First-principles (PBE) data for a relaxed structure of Mg2BMoH, as listed in Alexandria via LeMat-Bulk.

Output
Distance to the lowest polymorph of the same formula ... 0.000 eV per atom
Total energy ... -4.25 eV/atom

a b c (Å): 3.539 3.539 4.844
angles (deg): 90.00 90.00 90.00
Space group P4/mmm (No. 123)
Inequivalent atoms, fractional coordinates:
Mg  0.000  0.500  0.000 x2
B  0.000  0.000  0.500 x1
Mo  0.500  0.500  0.500 x1
H  0.000  0.000  0.000 x1

---

First-principles (PBE) data for a relaxed structure of Mg2BMoH, as listed in Alexandria via LeMat-Bulk.

Output
Distance to the lowest polymorph of the same formula ... 0.248 eV per atom
Total energy ... -4.00 eV/atom

a b c (Å): 4.415 4.415 4.166
angles (deg): 90.00 90.00 90.00
Space group P4/mmm (No. 123)
Inequivalent atoms, fractional coordinates:
Mg  0.000  0.500  0.000 x2
B  0.000  0.000  0.000 x1
Mo  0.000  0.000  0.500 x1
H  0.500  0.500  0.500 x1

---

First-principles (PBE) data for a relaxed structure of MgB3H20N3, as listed in Alexandria via LeMat-Bulk.

Output
Total energy ... -4.54 eV/atom

a b c (Å): 5.752 9.317 9.430
angles (deg): 90.04 90.18 90.29
Space group P1 (No. 1)
Inequivalent atoms, fractional coordinates:
Mg  0.000  0.000  0.000 x1
Mg  0.009  0.499  0.497 x1
B  0.204  0.667  0.368 x1
B  0.210  0.162  0.129 x1
B  0.217  0.348  0.640 x1
B  0.235  0.844  0.853 x1
B  0.638  0.517  0.001 x1
B  0.648  0.017  0.496 x1
H  0.006  0.332  0.656 x1
H  0.103  0.937  0.807 x1
H  0.157  0.728  0.816 x1
H  0.224  0.690  0.496 x1
H  0.238  0.172  0.999 x1
H  0.251  0.847  0.984 x1
H  0.266  0.476  0.661 x1
H  0.268  0.319  0.516 x1
H  0.272  0.582  0.974 x1
H  0.285  0.548  0.341 x1
H  0.286  0.087  0.518 x1
H  0.287  0.047  0.170 x1
H  0.297  0.416  0.039 x1
H  0.304  0.759  0.300 x1
H  0.305  0.262  0.189 x1
H  0.305  0.919  0.460 x1
H  0.322  0.272  0.722 x1
H  0.338  0.447  0.869 x1
H  0.349  0.956  0.629 x1
H  0.429  0.867  0.806 x1
H  0.574  0.075  0.904 x1
H  0.583  0.575  0.594 x1
H  0.654  0.556  0.124 x1
H  0.666  0.056  0.372 x1
H  0.689  0.917  0.197 x1
H  0.704  0.614  0.923 x1
H  0.706  0.425  0.289 x1
H  0.716  0.782  0.084 x1
H  0.718  0.289  0.402 x1
H  0.719  0.114  0.573 x1
H  0.735  0.220  0.913 x1
H  0.743  0.406  0.981 x1
H  0.749  0.904  0.515 x1
H  0.750  0.718  0.589 x1
H  0.757  0.111  0.777 x1
H  0.768  0.605  0.723 x1
H  0.913  0.811  0.205 x1
H  0.925  0.314  0.287 x1
H  0.995  0.665  0.340 x1
H  0.999  0.165  0.152 x1
N  0.367  0.489  0.969 x1
N  0.377  0.993  0.528 x1
N  0.738  0.113  0.885 x1
N  0.749  0.610  0.614 x1
N  0.806  0.863  0.135 x1
N  0.815  0.368  0.354 x1

---

First-principles (PBE) data for a relaxed structure of Na2MgBH, as listed in Alexandria via LeMat-Bulk.

Output
Total energy ... -2.24 eV/atom

a b c (Å): 4.218 4.218 4.337
angles (deg): 90.00 90.00 90.00
Space group P4/mmm (No. 123)
Inequivalent atoms, fractional coordinates:
Na  0.000  0.500  0.000 x2
Mg  0.000  0.000  0.500 x1
B  0.500  0.500  0.500 x1
H  0.000  0.000  0.000 x1

---

First-principles (PBE) data for a relaxed structure of MgNbB2H, as listed in Alexandria via LeMat-Bulk.

Output
Total energy ... -5.02 eV/atom

a b c (Å): 3.782 3.782 3.447
angles (deg): 90.00 90.00 90.00
Space group P4/mmm (No. 123)
Inequivalent atoms, fractional coordinates:
Mg  0.000  0.000  0.000 x1
Nb  0.500  0.500  0.000 x1
B  0.000  0.500  0.500 x2
H  0.000  0.000  0.500 x1

---

Look up the total energy of the fourth one. -4.54 eV/atom